(1)
## HfCrGa2P (GGA-PBE)

Data for a geometry-optimized HfCrGa2P structure.

```
data_HfCrGa2P
_chemical_formula_sum 'Hf1 Cr1 Ga2 P1'
_space_group_name_H-M_alt 'P 4/m m m'
_space_group_IT_number 123
_space_group_name_Hall '-P 4 2'
_cell_length_a 5.164
_cell_length_b 5.164
_cell_length_c 4.747
_cell_angle_alpha 90.00
_cell_angle_beta 90.00
_cell_angle_gamma 90.00
loop_
_atom_site_label
_atom_site_type_symbol
_atom_site_fract_x
_atom_site_fract_y
_atom_site_fract_z
Hf1 Hf 0.000 0.000 0.000
Cr1 Cr 0.000 0.000 0.500
Ga1 Ga 0.000 0.500 0.000
P1 P 0.500 0.500 0.500
```

Properties
Formation enthalpy at 0 K (eV/atom): 1.313
Uncorrected energy (eV per formula unit): -24.48
Theoretical density (g/cm3): 5.26


(2)
## DyTh2Pd9 (GGA-PBE)

Data for a geometry-optimized DyTh2Pd9 structure.

```
data_DyTh2Pd9
_chemical_formula_sum 'Dy1 Th2 Pd9'
_space_group_name_H-M_alt 'P 4/m m m'
_space_group_IT_number 123
_space_group_name_Hall '-P 4 2'
_cell_length_a 4.191
_cell_length_b 4.191
_cell_length_c 12.533
_cell_angle_alpha 90.00
_cell_angle_beta 90.00
_cell_angle_gamma 90.00
loop_
_atom_site_label
_atom_site_type_symbol
_atom_site_fract_x
_atom_site_fract_y
_atom_site_fract_z
Dy1 Dy 0.000 0.000 0.000
Th1 Th 0.000 0.000 0.328
Pd1 Pd 0.000 0.500 0.165
Pd2 Pd 0.000 0.500 0.500
Pd3 Pd 0.500 0.500 0.000
Pd4 Pd 0.500 0.500 0.333
```

Properties
Formation enthalpy at 0 K (eV/atom): -0.956
Uncorrected energy (eV per formula unit): -77.64
Theoretical density (g/cm3): 11.95


(3)
## Al4NiRh3 (GGA-PBE)

Data for a geometry-optimized Al4NiRh3 structure.

```
data_Al4NiRh3
_chemical_formula_sum 'Al4 Ni1 Rh3'
_space_group_name_H-M_alt 'P 4/m m m'
_space_group_IT_number 123
_space_group_name_Hall '-P 4 2'
_cell_length_a 2.975
_cell_length_b 2.975
_cell_length_c 11.971
_cell_angle_alpha 90.00
_cell_angle_beta 90.00
_cell_angle_gamma 90.00
loop_
_atom_site_label
_atom_site_type_symbol
_atom_site_fract_x
_atom_site_fract_y
_atom_site_fract_z
Al1 Al 0.000 0.000 0.117
Al2 Al 0.000 0.000 0.372
Ni1 Ni 0.500 0.500 0.000
Rh1 Rh 0.500 0.500 0.245
Rh2 Rh 0.500 0.500 0.500
```

Properties
Formation enthalpy at 0 K (eV/atom): -0.971
Uncorrected energy (eV per formula unit): -50.57
Theoretical density (g/cm3): 7.45